ThCuHg2 | PBE-GGA | optimized geometry

Lattice parameters (Å, degrees): 7.1778 7.1778 7.1778 90.00 90.00 90.00
Space group Fm-3m (No. 225)
One atom of each set of equivalent atoms:
Th: 0.0000 0.0000 0.0000 [4 per cell]
Cu: 0.0000 0.0000 0.5000 [4 per cell]
Hg: 0.2500 0.2500 0.2500 [8 per cell]

## Properties
Crystal system: cubic
Raw total energy (eV/atom): -3.10